1.
Here is a geometry-optimized AcIrO3 structure from OQMD via LeMat-Bulk. Energies are from GGA-PBE.

It has space group Pnma (No. 62), with a = 5.9068 Å, b = 8.0825 Å, c = 5.6157 Å, α = 90.00°, β = 90.00° and γ = 90.00°. Symmetry generates all atoms from Ac at (0.0641, 0.2500, 0.0159), Ir at (0.0000, 0.0000, 0.5000), O at (0.0184, 0.7500, 0.4079) and O at (0.2007, 0.5459, 0.8068).

The total energy is -7.50 eV per atom. For the calculated density, the calculation gives 11575 kg/m3.

***

2.
Here is a geometry-optimized AcIr2O4 structure from OQMD via LeMat-Bulk. Energies are from GGA-PBE.

It has space group Fd-3m (No. 227, origin choice 2), with a = 9.2779 Å, b = 9.2779 Å, c = 9.2779 Å, α = 90.00°, β = 90.00° and γ = 90.00°. Symmetry generates all atoms from Ac at (0.1250, 0.1250, 0.1250), Ir at (0.0000, 0.0000, 0.5000) and O at (0.0255, 0.0255, 0.7245).

The total energy is -7.05 eV per atom. For the calculated density, the calculation gives 11235 kg/m3.

***

3.
Here is a geometry-optimized AcIrO3 structure from OQMD via LeMat-Bulk. Energies are from GGA-PBE.

It has space group P4mm (No. 99), with a = 3.9974 Å, b = 3.9974 Å, c = 4.1496 Å, α = 90.00°, β = 90.00° and γ = 90.00°. Symmetry generates all atoms from Ac at (0.0000, 0.0000, 0.0000), Ir at (0.5000, 0.5000, 0.4971), O at (0.0000, 0.5000, 0.5759) and O at (0.5000, 0.5000, 0.0020).

The total energy is -7.33 eV per atom. For the calculated density, the calculation gives 11700 kg/m3.

***

4.
Here is a geometry-optimized AcIrO3 structure from OQMD via LeMat-Bulk. Energies are from GGA-PBE.

It has space group R-3c (No. 167, hexagonal axes), with a = 6.3999 Å, b = 6.3999 Å, c = 13.3476 Å, α = 90.00°, β = 90.00° and γ = 120.00°. Symmetry generates all atoms from Ac at (0.0000, 0.0000, 0.0000), Ir at (0.0000, 0.0000, 0.2500) and O at (0.0000, 0.2923, 0.2500).

The total energy is -7.20 eV per atom. For the calculated density, the calculation gives 9832 kg/m3.

***

5.
Here is a geometry-optimized AcIrO3 structure from OQMD via LeMat-Bulk. Energies are from GGA-PBE.

It has space group R-3c (No. 167, hexagonal axes), with a = 5.8671 Å, b = 5.8671 Å, c = 13.2071 Å, α = 90.00°, β = 90.00° and γ = 120.00°. Symmetry generates all atoms from Ac at (0.0000, 0.0000, 0.2500), Ir at (0.0000, 0.0000, 0.0000) and O at (0.0000, 0.4139, 0.2500).

The total energy is -7.48 eV per atom. For the calculated density, the calculation gives 11823 kg/m3.

***

6.
Here is a geometry-optimized AcIrO3 structure from OQMD via LeMat-Bulk. Energies are from GGA-PBE.

It has space group Pnma (No. 62), with a = 6.6500 Å, b = 8.4067 Å, c = 5.6235 Å, α = 90.00°, β = 90.00° and γ = 90.00°. Symmetry generates all atoms from Ac at (0.0000, 0.0000, 0.0000), Ir at (0.0272, 0.2500, 0.4788), O at (0.1602, 0.5892, 0.6065) and O at (0.2082, 0.7500, 0.0857).

The total energy is -7.18 eV per atom. For the calculated density, the calculation gives 9871 kg/m3.